Record 1
Entry from Alexandria via LeMat-Bulk: crystalline PmAsRhF at its relaxed geometry (PBE).

Calculated values
E_tot: -53.016 eV for the cell shown
ρ: 8.277 g/cm3
spin magnetization: 0.00 μB/f.u.
SG: No. 129

Cell lengths 4.0144, 4.0144, 8.5107 Å; angles 90.00, 90.00, 90.00 degrees
Last column: nearest neighbours and their distance in Å.
Fractional coordinates of all 8 atoms:
Pm1 0.5000 0.0000 0.6862  4 F 2.56
Pm2 0.0000 0.5000 0.3138  4 F 2.56
As1 0.0000 0.5000 0.8245  4 Rh 2.50
As2 0.5000 0.0000 0.1755  4 Rh 2.50
Rh1 0.5000 0.5000 0.0000  4 As 2.50
Rh2 0.0000 0.0000 0.0000  4 As 2.50
F1 0.0000 0.0000 0.5000  4 Pm 2.56, 4 F 2.84
F2 0.5000 0.5000 0.5000  4 Pm 2.56, 4 F 2.84



Record 2
Entry from Alexandria via LeMat-Bulk: crystalline PmAsRuF at its relaxed geometry (PBE).

Calculated values
E_tot: -56.076 eV for the cell shown
ρ: 8.161 g/cm3
spin magnetization: 0.00 μB/f.u.
SG: No. 129

Cell lengths 4.1247, 4.1247, 8.1328 Å; angles 90.00, 90.00, 90.00 degrees
Last column: nearest neighbours and their distance in Å.
Fractional coordinates of all 8 atoms:
Pm1 0.5000 0.0000 0.6873  4 F 2.56
Pm2 0.0000 0.5000 0.3127  4 F 2.56
As1 0.0000 0.5000 0.8356  4 Ru 2.46
As2 0.5000 0.0000 0.1644  4 Ru 2.46
Ru1 0.5000 0.5000 0.0000  4 As 2.46
Ru2 0.0000 0.0000 0.0000  4 As 2.46
F1 0.0000 0.0000 0.5000  4 Pm 2.56
F2 0.5000 0.5000 0.5000  4 Pm 2.56



Record 3
Entry from Alexandria via LeMat-Bulk: crystalline Pr2AsF at its relaxed geometry (PBE).

Calculated values
E_tot: -23.723 eV for the cell shown
ρ: 5.052 g/cm3
spin magnetization: 0.00 μB/f.u.
SG: No. 166

Cell lengths 4.2208, 4.2208, 8.3669 Å; angles 75.39, 75.39, 60.00 degrees
Last column: nearest neighbours and their distance in Å.
Fractional coordinates of all 4 atoms:
Pr1 0.0966 0.0966 0.7101  1 F 2.32
Pr2 0.9034 0.9034 0.2899  1 F 2.32
As1 0.5000 0.5000 0.5000  6 Pr 2.96
F1 0.0000 0.0000 0.0000  2 Pr 2.32



Record 4
Entry from Alexandria via LeMat-Bulk: crystalline PrAsF at its relaxed geometry (PBE).

Calculated values
E_tot: -71.809 eV for the cell shown
ρ: 6.008 g/cm3
spin magnetization: 0.00 μB/f.u.
SG: No. 139

Cell lengths 5.9661, 7.8804, 5.9658 Å; angles 112.24, 90.00, 90.00 degrees
Last column: nearest neighbours and their distance in Å.
Fractional coordinates of all 12 atoms:
Pr1 0.5001 0.7143 0.3571  4 F 2.62-2.63
Pr2 0.9999 0.7143 0.8571  4 F 2.62-2.63
Pr3 0.0001 0.2857 0.1429  4 F 2.62-2.63
Pr4 0.4999 0.2857 0.6429  4 F 2.62-2.63
As1 0.7495 0.0000 0.2495  4 Pr 2.97, 4 As 2.98
As2 0.7505 0.0000 0.7495  4 Pr 2.97, 4 As 2.98
As3 0.2495 0.0000 0.2505  4 Pr 2.97, 4 As 2.98
As4 0.2505 0.0000 0.7505  4 Pr 2.97, 4 As 2.98
F1 0.2500 0.5000 0.0000  4 Pr 2.62-2.63
F2 0.2500 0.5000 0.5000  4 Pr 2.62-2.63
F3 0.7500 0.5000 0.5000  4 Pr 2.62-2.63
F4 0.7500 0.5000 0.0000  4 Pr 2.62-2.63